No. 1
Here is SrMgAsIr after structural relaxation from OQMD via LeMat-Bulk. Energies are from PBE.

a = 4.9250 Å, b = 4.9250 Å, c = 4.9250 Å
α = 60.00°, β = 60.00°, γ = 60.00°
Sites, in units of the cell vectors:
Sr  0.0000  0.0000  0.0000
Mg  0.5000  0.5000  0.5000
As  0.7500  0.7500  0.7500
Ir  0.2500  0.2500  0.2500

Computed properties:
magnetization	0.001	μB per formula unit
uncorrected energy	-17.13	eV for the cell shown



No. 2
Here is SmYGeF2 after structural relaxation from OQMD via LeMat-Bulk. Energies are from PBE.

a = 4.0135 Å, b = 4.0135 Å, c = 6.7571 Å
α = 90.00°, β = 90.00°, γ = 120.00°
Sites, in units of the cell vectors:
Sm  0.0000  0.0000  0.0000
Y  0.6667  0.3333  0.4920
Ge  0.3333  0.6667  0.2501
F  0.0000  0.0000  0.6388
F  0.6667  0.3333  0.8426

Computed properties:
magnetization	0.000	μB per formula unit
uncorrected energy	-31.88	eV for the cell shown



No. 3
Here is LuSnAs after structural relaxation from OQMD via LeMat-Bulk. Energies are from PBE.

a = 4.8448 Å, b = 4.8448 Å, c = 4.8448 Å
α = 60.00°, β = 60.00°, γ = 60.00°
Sites, in units of the cell vectors:
Lu  0.0000  0.0000  0.0000
Sn  0.5000  0.5000  0.5000
As  0.2500  0.2500  0.2500

Computed properties:
magnetization	0.000	μB per formula unit
uncorrected energy	-14.10	eV for the cell shown



No. 4
Here is LaYFe2Ge4 after structural relaxation from OQMD via LeMat-Bulk. Energies are from PBE.

a = 4.4203 Å, b = 4.2552 Å, c = 8.2634 Å
α = 90.00°, β = 104.51°, γ = 90.00°
Sites, in units of the cell vectors:
La  0.0000  0.0000  0.0000
Y  0.7726  0.5000  0.5805
Fe  0.2709  0.0000  0.4043
Fe  0.5094  0.5000  0.1852
Ge  0.0767  0.5000  0.2953
Ge  0.3356  0.0000  0.6896
Ge  0.4396  0.5000  0.8910
Ge  0.7044  0.0000  0.2988

Computed properties:
magnetization	0.021	μB per formula unit
uncorrected energy	-50.89	eV for the cell shown



No. 5
Here is BaPdSeO after structural relaxation from OQMD via LeMat-Bulk. Energies are from PBE.

a = 4.1060 Å, b = 4.1060 Å, c = 9.9399 Å
α = 90.00°, β = 90.00°, γ = 90.00°
Sites, in units of the cell vectors:
Ba  0.2500  0.2500  0.1473
Ba  0.7500  0.7500  0.8527
Pd  0.2500  0.7500  0.5000
Pd  0.7500  0.2500  0.5000
Se  0.2500  0.2500  0.6513
Se  0.7500  0.7500  0.3487
O  0.2500  0.2500  0.8920
O  0.7500  0.7500  0.1080

Computed properties:
uncorrected energy	-41.27	eV for the cell shown



No. 6
Here is Cu12Sb4Te13 after structural relaxation from OQMD via LeMat-Bulk. Energies are from PBE.

a = 10.0180 Å, b = 10.0180 Å, c = 10.0180 Å
α = 109.47°, β = 109.47°, γ = 109.47°
Sites, in units of the cell vectors:
Cu  0.0000  0.2233  0.2233
Cu  0.0000  0.7767  0.7767
Cu  0.2233  0.0000  0.2233
Cu  0.2233  0.2233  0.0000
Cu  0.2500  0.5000  0.7500
Cu  0.2500  0.7500  0.5000
Cu  0.5000  0.2500  0.7500
Cu  0.5000  0.7500  0.2500
Cu  0.7500  0.2500  0.5000
Cu  0.7500  0.5000  0.2500
Cu  0.7767  0.0000  0.7767
Cu  0.7767  0.7767  0.0000
Sb  0.0000  0.0000  0.5600
Sb  0.0000  0.5600  0.0000
Sb  0.4400  0.4400  0.4400
Sb  0.5600  0.0000  0.0000
Te  0.0000  0.0000  0.0000
Te  0.0000  0.2496  0.4839
Te  0.0000  0.4839  0.2496
Te  0.2342  0.7504  0.7504
Te  0.2496  0.0000  0.4839
Te  0.2496  0.4839  0.0000
Te  0.4839  0.0000  0.2496
Te  0.4839  0.2496  0.0000
Te  0.5161  0.5161  0.7658
Te  0.5161  0.7658  0.5161
Te  0.7504  0.2342  0.7504
Te  0.7504  0.7504  0.2342
Te  0.7658  0.5161  0.5161

Computed properties:
uncorrected energy	-102.32	eV for the cell shown



No. 7
Here is ErNpSi after structural relaxation from OQMD via LeMat-Bulk. Energies are from PBE.

a = 4.8000 Å, b = 4.8000 Å, c = 4.8000 Å
α = 60.00°, β = 60.00°, γ = 60.00°
Sites, in units of the cell vectors:
Er  0.0000  0.0000  0.0000
Np  0.5000  0.5000  0.5000
Si  0.2500  0.2500  0.2500

Computed properties:
magnetization	5.220	μB per formula unit
uncorrected energy	-22.67	eV for the cell shown



No. 8
Here is PrAgPbSe3 after structural relaxation from OQMD via LeMat-Bulk. Energies are from PBE.

a = 11.0588 Å, b = 4.2465 Å, c = 13.8519 Å
α = 90.00°, β = 90.00°, γ = 90.00°
Sites, in units of the cell vectors:
Pr  0.0197  0.2500  0.2388
Pr  0.4803  0.7500  0.7388
Pr  0.5197  0.2500  0.2612
Pr  0.9803  0.7500  0.7612
Ag  0.2349  0.2500  0.7244
Ag  0.2651  0.7500  0.2244
Ag  0.7349  0.2500  0.7756
Ag  0.7651  0.7500  0.2756
Pb  0.2130  0.7500  0.5070
Pb  0.2870  0.2500  0.0070
Pb  0.7130  0.7500  0.9930
Pb  0.7870  0.2500  0.4930
Se  0.0402  0.2500  0.6102
Se  0.0871  0.7500  0.0991
Se  0.2360  0.7500  0.8442
Se  0.2640  0.2500  0.3442
Se  0.4129  0.2500  0.5991
Se  0.4598  0.7500  0.1102
Se  0.5402  0.2500  0.8898
Se  0.5871  0.7500  0.4009
Se  0.7360  0.7500  0.6558
Se  0.7640  0.2500  0.1558
Se  0.9129  0.2500  0.9009
Se  0.9598  0.7500  0.3898

Computed properties:
magnetization	0.004	μB per formula unit
uncorrected energy	-110.44	eV for the cell shown



No. 9
Here is HfSe4Cl6 after structural relaxation from OQMD via LeMat-Bulk. Energies are from PBE.

a = 10.9863 Å, b = 10.9863 Å, c = 10.6393 Å
α = 90.00°, β = 90.00°, γ = 90.00°
Sites, in units of the cell vectors:
Hf  0.0000  0.0000  0.0000
Hf  0.0000  0.5000  0.5000
Hf  0.5000  0.0000  0.5000
Hf  0.5000  0.5000  0.0000
Se  0.0916  0.0916  0.4196
Se  0.0916  0.4084  0.9196
Se  0.1056  0.6056  0.0000
Se  0.1056  0.8944  0.5000
Se  0.3944  0.6056  0.5000
Se  0.3944  0.8944  0.0000
Se  0.4084  0.0916  0.9196
Se  0.4084  0.4084  0.4196
Se  0.5916  0.5916  0.5804
Se  0.5916  0.9084  0.0804
Se  0.6056  0.1056  0.0000
Se  0.6056  0.3944  0.5000
Se  0.8944  0.1056  0.5000
Se  0.8944  0.3944  0.0000
Se  0.9084  0.5916  0.0804
Se  0.9084  0.9084  0.5804
Cl  0.0566  0.6685  0.6438
Cl  0.0566  0.8315  0.1438
Cl  0.1348  0.1348  0.1145
Cl  0.1348  0.3652  0.6145
Cl  0.1685  0.5566  0.3562
Cl  0.1685  0.9434  0.8562
Cl  0.3315  0.5566  0.8562
Cl  0.3315  0.9434  0.3562
Cl  0.3652  0.1348  0.6145
Cl  0.3652  0.3652  0.1145
Cl  0.4434  0.6685  0.1438
Cl  0.4434  0.8315  0.6438
Cl  0.5566  0.1685  0.3562
Cl  0.5566  0.3315  0.8562
Cl  0.6348  0.6348  0.8855
Cl  0.6348  0.8652  0.3855
Cl  0.6685  0.0566  0.6438
Cl  0.6685  0.4434  0.1438
Cl  0.8315  0.0566  0.1438
Cl  0.8315  0.4434  0.6438
Cl  0.8652  0.6348  0.3855
Cl  0.8652  0.8652  0.8855
Cl  0.9434  0.1685  0.8562
Cl  0.9434  0.3315  0.3562

Computed properties:
magnetization	0.001	μB per formula unit
uncorrected energy	-181.11	eV for the cell shown



No. 10
Here is Ta4AuSN2 after structural relaxation from OQMD via LeMat-Bulk. Energies are from PBE.

a = 3.2334 Å, b = 3.2334 Å, c = 12.4685 Å
α = 90.00°, β = 90.00°, γ = 120.00°
Sites, in units of the cell vectors:
Ta  0.0000  0.0000  0.1448
Ta  0.0000  0.0000  0.8552
Ta  0.6667  0.3333  0.3234
Ta  0.6667  0.3333  0.6766
Au  0.0000  0.0000  0.5000
S  0.6667  0.3333  0.0000
N  0.3333  0.6667  0.2395
N  0.3333  0.6667  0.7605

Computed properties:
magnetization	0.002	μB per formula unit
uncorrected energy	-76.35	eV for the cell shown



No. 11
Here is SrNd2S2 after structural relaxation from OQMD via LeMat-Bulk. Energies are from PBE.

a = 4.0102 Å, b = 4.0102 Å, c = 20.6421 Å
α = 90.00°, β = 90.00°, γ = 120.00°
Sites, in units of the cell vectors:
Sr  0.0000  0.0000  0.2500
Sr  0.0000  0.0000  0.7500
Nd  0.3333  0.6667  0.0752
Nd  0.3333  0.6667  0.4248
Nd  0.6667  0.3333  0.5752
Nd  0.6667  0.3333  0.9248
S  0.3333  0.6667  0.6591
S  0.3333  0.6667  0.8409
S  0.6667  0.3333  0.1591
S  0.6667  0.3333  0.3409

Computed properties:
magnetization	1.021	μB per formula unit
uncorrected energy	-53.73	eV for the cell shown



No. 12
Here is AcPuNi after structural relaxation from OQMD via LeMat-Bulk. Energies are from PBE.

a = 4.9090 Å, b = 4.9090 Å, c = 4.9090 Å
α = 60.00°, β = 60.00°, γ = 60.00°
Sites, in units of the cell vectors:
Ac  0.0000  0.0000  0.0000
Pu  0.5000  0.5000  0.5000
Ni  0.7500  0.7500  0.7500

Computed properties:
ΔH_f (0 K)	86	meV per atom
magnetization	6.435	μB per formula unit